Record 1
{
  "formula": "Er8Ga2Sn",
  "functional": "PBE",
  "state": "relaxed",
  "formation_enthalpy_0k_mev_per_atom": -336,
  "lattice": [[4.8520, 0.0000, 0.0000], [0.0000, 7.8278, 0.0533], [-2.4260, -3.1277, 7.6521]],
  "species": ["Er", "Er", "Er", "Er", "Er", "Er", "Er", "Er", "Ga", "Ga", "Sn"],
  "frac_coords": [[0.9502, 0.2675, 0.9004], [0.3206, 0.0534, 0.6413], [0.1636, 0.2387, 0.3272], [0.0498, 0.7325, 0.0996], [0.6794, 0.9466, 0.3587], [0.8364, 0.7613, 0.6728], [0.3972, 0.5399, 0.7944], [0.6028, 0.4601, 0.2056], [0.2162, 0.6592, 0.4324], [0.7838, 0.3408, 0.5676], [0.5000, 0.0000, 0.0000]]
}

=====

Record 2
{
  "formula": "ErGaSn",
  "functional": "PBE",
  "state": "relaxed",
  "formation_enthalpy_0k_mev_per_atom": -480,
  "lattice": [[-3.4142, 2.7468, 0.0871], [-1.4489, -1.9165, 3.6436], [2.7351, 3.3914, 0.2576]],
  "species": ["Ga", "Sn", "Er"],
  "frac_coords": [[0.9683, 0.0000, 0.0000], [0.7320, 0.6667, 0.3333], [0.2996, 0.3333, 0.6667]]
}

=====

Record 3
{
  "formula": "ErGaSn2",
  "functional": "PBE",
  "state": "relaxed",
  "e_above_lowest_polymorph_mev_per_atom": 0,
  "formation_enthalpy_0k_mev_per_atom": -428,
  "lattice": [[-3.2065, -1.5581, -3.0696], [3.0026, 0.3828, -3.3308], [1.3529, -4.2294, 0.7335]],
  "species": ["Sn", "Sn", "Er", "Ga"],
  "frac_coords": [[0.0000, 0.5000, 0.0000], [0.0000, 0.0000, 0.5000], [0.5000, 0.5000, 0.5000], [0.5000, 0.0000, 0.0000]]
}

=====

Record 4
{
  "formula": "ErGaSn",
  "functional": "PBE",
  "state": "relaxed",
  "formation_enthalpy_0k_mev_per_atom": -410,
  "lattice": [[-0.6916, -2.4957, -5.0457], [-5.6783, -1.5617, 1.5508], [-1.0470, 4.7712, 0.9710]],
  "species": ["Er", "Er", "Sn", "Sn", "Ga", "Ga"],
  "frac_coords": [[0.6613, 0.7500, 0.8226], [0.3387, 0.2500, 0.1774], [0.0000, 0.5000, 0.5000], [0.0000, 0.0000, 0.5000], [0.6947, 0.2500, 0.8894], [0.3053, 0.7500, 0.1106]]
}

=====

Record 5
{
  "formula": "Er2Ga3Sn3",
  "functional": "PBE",
  "state": "relaxed",
  "formation_enthalpy_0k_mev_per_atom": -438,
  "lattice": [[-2.9946, 2.3982, -1.9739], [-0.2186, -2.9577, -3.2617], [-6.8240, -4.6637, 4.6863]],
  "species": ["Sn", "Sn", "Sn", "Ga", "Ga", "Ga", "Er", "Er"],
  "frac_coords": [[0.0000, 0.5000, 0.0000], [0.5000, 0.0000, 0.5000], [0.0000, 0.5000, 0.5000], [0.5000, 0.5000, 0.2332], [0.5000, 0.5000, 0.7668], [0.5000, 0.0000, 0.0000], [0.0000, 0.0000, 0.7580], [0.0000, 0.0000, 0.2420]]
}

=====

Record 6
{
  "formula": "Er2Ga2Sn",
  "functional": "PBE",
  "state": "relaxed",
  "formation_enthalpy_0k_mev_per_atom": -643,
  "lattice": [[7.2247, 0.0000, 0.0000], [0.0000, 7.2247, 0.0000], [0.0000, 0.0000, 8.6676]],
  "species": ["Er", "Er", "Er", "Er", "Er", "Er", "Er", "Er", "Sn", "Sn", "Sn", "Sn", "Ga", "Ga", "Ga", "Ga", "Ga", "Ga", "Ga", "Ga"],
  "frac_coords": [[0.8271, 0.3270, 0.0000], [0.1729, 0.6730, 0.0000], [0.6729, 0.8270, 0.5000], [0.8270, 0.3271, 0.5000], [0.1730, 0.6729, 0.5000], [0.6730, 0.8271, 0.0000], [0.3270, 0.1729, 0.0000], [0.3271, 0.1730, 0.5000], [0.0000, 0.0000, 0.7499], [0.5000, 0.5000, 0.2499], [0.0000, 0.0000, 0.2501], [0.5000, 0.5000, 0.7501], [0.6234, 0.1234, 0.2500], [0.6234, 0.1234, 0.7500], [0.1234, 0.3766, 0.7500], [0.1234, 0.3766, 0.2500], [0.8766, 0.6234, 0.2500], [0.3766, 0.8766, 0.7500], [0.8766, 0.6234, 0.7500], [0.3766, 0.8766, 0.2500]]
}